Record 1
A plane-wave DFT calculation with PBE-GGA was carried out for an optimized crystal structure of RbBrF3.

extended XYZ file:
```
10
Lattice="6.8832 0.0000 0.0000 0.0000 6.8832 0.0000 3.4416 3.4416 4.8654" Properties=species:S:1:pos:R:3 pbc="T T T"
Rb 6.8832 3.4416 2.4327
Rb 3.4416 6.8832 2.4327
F 2.0658 4.8174 0.0000
F 4.8174 2.0658 0.0000
F 6.8832 6.8832 1.9964
F 3.4416 3.4416 2.8690
F 4.8174 4.8174 0.0000
F 2.0658 2.0658 0.0000
Br 3.4416 3.4416 0.0000
Br 0.0000 0.0000 0.0000
```

Density (g cm⁻³): 3.2
Calculated total energy (eV/atom): -3.270
ΔE to the lowest computed polymorph (meV/atom): 0



Record 2
A plane-wave DFT calculation with PBE-GGA was carried out for an optimized crystal structure of Rb3BrF12.

extended XYZ file:
```
16
Lattice="7.4322 -0.5435 0.5211 -0.5084 7.4348 0.5211 0.8339 0.8299 7.5963" Properties=species:S:1:pos:R:3 pbc="T T T"
Br 0.0000 0.0000 0.0000
F 6.5719 5.1373 6.4358
F 1.6156 7.5894 6.8404
F 7.5969 1.5797 6.8404
F 5.1682 6.5476 6.4358
F 3.5826 4.5701 2.7931
F 6.1422 0.1318 1.7981
F 4.1752 3.1512 5.8455
F 4.5869 3.5610 2.7931
F 2.5895 1.1737 2.2027
F 3.1708 4.1603 5.8455
F 0.1608 6.1415 1.7981
F 1.1859 2.5840 2.2027
Rb -0.2542 3.7174 0.2606
Rb 0.4169 0.4150 3.7981
Rb 3.7161 -0.2717 0.2606
```

Density (g cm⁻³): 2.3
Calculated total energy (eV/atom): -2.941



Record 3
A plane-wave DFT calculation with PBE-GGA was carried out for an optimized crystal structure of Rb2BrF2.

extended XYZ file:
```
10
Lattice="-0.9184 -2.3383 -8.3392 8.5541 1.0674 -1.2413 0.5108 -3.1363 0.8232" Properties=species:S:1:pos:R:3 pbc="T T T"
Rb 6.9773 0.0843 -4.0087
Rb 4.7451 -1.3061 -7.9209
Rb 0.6584 -1.3552 -5.5718
Rb 2.8906 0.0352 -1.6595
F 5.5477 -1.2034 -1.4829
F 1.0557 -2.2845 -2.8143
F 2.5988 -3.2038 -7.2744
F 7.0909 -2.1227 -5.9431
Br 3.8179 -0.6355 -4.7902
Br 0.0000 0.0000 0.0000
```

Density (g cm⁻³): 3.9
Calculated total energy (eV/atom): -3.293
ΔE to the lowest computed polymorph (meV/atom): 60